# GGA-PBE La2TlCdNi, relaxed
# **E_form**: -0.224 eV per atom
# **Excess energy over the best structure of this formula in the dataset**: 62 meV per atom
# **Energy**: -4.01 eV/atom
# **M_tot**: 0.00 Bohr magnetons per cell
data_La2TlCdNi
_space_group_name_H-M_alt 'P 4/m m m'
_space_group_IT_number 123
_space_group_name_Hall '-P 4 2'
_cell_length_a 5.407
_cell_length_b 5.407
_cell_length_c 5.003
_cell_angle_alpha 90.00
_cell_angle_beta 90.00
_cell_angle_gamma 90.00
loop_
_atom_site_label
_atom_site_fract_x
_atom_site_fract_y
_atom_site_fract_z
La1 0.000 0.500 0.000
Tl1 0.000 0.000 0.500
Cd1 0.500 0.500 0.500
Ni1 0.000 0.000 0.000

# GGA-PBE LaTlCd2Ni, relaxed
# **E_form**: -0.194 eV per atom
# **Excess energy over the best structure of this formula in the dataset**: 0 meV per atom
# **Energy**: -3.18 eV/atom
# **M_tot**: 0.00 Bohr magnetons per cell
data_LaTlCd2Ni
_space_group_name_H-M_alt 'P 4/m m m'
_space_group_IT_number 123
_space_group_name_Hall '-P 4 2'
_cell_length_a 5.123
_cell_length_b 5.123
_cell_length_c 5.042
_cell_angle_alpha 90.00
_cell_angle_beta 90.00
_cell_angle_gamma 90.00
loop_
_atom_site_label
_atom_site_fract_x
_atom_site_fract_y
_atom_site_fract_z
La1 0.000 0.000 0.000
Tl1 0.500 0.500 0.000
Cd1 0.000 0.500 0.500
Ni1 0.000 0.000 0.500

Which value of E_form does entry 2 give?
-0.194 eV per atom